MnAg3S4 PBE relaxed; uncorrected energy = -35.59 eV for the cell shown; total moment = 1.99 μB per cell; space group = I-42m (121); uncorrected formation energy = -0.1699 eV/atom
1.0
-4.320 -3.544 1.126
3.267 -4.442 -1.444
2.213 3.566 5.286
Mn Ag S
1 3 4
Cartesian
0.000 0.000 0.000
-0.526 -3.993 -0.159
-1.317 -1.985 3.127
2.477 -2.434 1.842
0.145 -1.850 1.075
-0.445 -6.325 0.897
3.436 -0.583 3.262
-0.816 -0.079 4.703

=====

CeNd2TlHg4 PBE relaxed; uncorrected energy = -21.91 eV for the cell shown; energy of formation from the pure elements = -2.86 eV per formula unit; total moment = 1.20 μB per cell; space group = R-3m (166)
1.0
-4.277 -3.041 0.795
-0.714 -4.387 -2.902
2.933 -7.321 5.491
Ce Nd Tl Hg
1 2 1 4
Cartesian
-1.030 -7.375 1.692
-1.413 -11.200 2.715
-0.646 -3.549 0.669
0.000 0.000 0.000
0.618 -9.112 3.912
-3.173 -9.346 0.344
1.114 -5.404 3.040
-2.677 -5.638 -0.528

=====

Li2SbW PBE relaxed; uncorrected energy = -19.51 eV for the cell shown; total moment = 0.65 μB per cell; space group = F-43m (216); uncorrected formation energy = 0.3475 eV/atom
1.0
-2.629 3.145 1.976
-4.193 0.784 -1.586
-3.629 -1.271 2.435
Li Sb W
2 1 1
Cartesian
0.000 0.000 0.000
-2.613 0.665 0.706
-5.225 1.330 1.412
-7.838 1.994 2.119

=====

ScZn3Au PBE relaxed; uncorrected energy = -12.56 eV for the cell shown; energy of formation from the pure elements = 0.87 eV per formula unit; total moment = 0.00 μB per cell; polymorph energy (0 for the lowest one) = 511 meV/atom; space group = Pm-3m (221)
1.0
-1.207 3.434 3.134
0.060 -3.226 3.558
4.649 0.933 0.768
Sc Zn Au
1 3 1
Cartesian
1.751 0.570 3.730
0.030 -1.613 1.779
2.324 0.466 0.384
-0.603 1.717 1.567
0.000 0.000 0.000

=====

K3Na2Hg4Au2 PBE relaxed; uncorrected energy = -15.97 eV for the cell shown; energy of formation from the pure elements = -2.28 eV per formula unit; total moment = 0.00 μB per cell; space group = P-3m1 (164)
1.0
-2.895 -0.243 4.087
3.572 -3.439 -0.751
11.012 9.612 8.372
K Na Hg Au
3 2 4 2
Cartesian
8.298 7.243 6.309
0.000 0.000 0.000
2.714 2.369 2.063
4.086 2.904 6.144
7.603 3.026 5.565
0.622 -0.120 3.510
11.067 6.050 8.199
6.236 4.780 7.778
5.453 1.150 3.931
8.856 7.067 9.770
2.833 -1.137 1.939

=====

HgTeAs2 PBE relaxed; uncorrected energy = -12.21 eV for the cell shown; total moment = 0.00 μB per cell; polymorph energy (0 for the lowest one) = 44 meV/atom; space group = R3m (160); uncorrected formation energy = 0.1332 eV/atom
1.0
-3.793 -9.069 -0.989
-0.773 -9.412 -2.903
-0.697 -9.833 0.663
As Te Hg
2 1 1
Cartesian
-5.192 -27.934 -3.187
-1.426 -7.669 -0.875
-3.871 -20.824 -2.376
-2.668 -14.356 -1.638

=====

Li2LaCd4 PBE relaxed; uncorrected energy = -14.00 eV for the cell shown; energy of formation from the pure elements = -1.58 eV per formula unit; total moment = 0.17 μB per cell; space group = Immm (71)
1.0
4.902 0.000 -1.118
-0.168 3.163 -0.739
-0.212 0.741 10.380
Li La Cd
2 1 4
Cartesian
3.659 2.974 4.738
0.863 0.930 3.785
2.451 0.000 -0.559
3.050 2.318 2.069
1.472 1.586 6.455
0.255 1.947 1.119
4.267 1.957 7.405

=====

PmY3Te PBE relaxed; uncorrected energy = -58.13 eV for the cell shown; total moment = 0.00 μB per cell; space group = C2/m (12); uncorrected formation energy = -0.3562 eV/atom
1.0
7.843 -0.086 -0.374
-2.229 7.520 0.374
-3.453 -3.228 5.788
Pm Y Te
2 6 2
Cartesian
2.698 -2.038 4.199
-0.538 6.242 1.589
5.548 -0.546 1.197
-0.186 2.332 1.571
2.346 1.872 4.217
4.246 2.629 1.027
-3.388 4.751 4.591
-2.086 1.575 4.761
2.026 4.306 2.139
0.134 -0.101 3.649

=====

CaMgV3 PBE relaxed; uncorrected energy = -20.99 eV for the cell shown; energy of formation from the pure elements = 9.96 eV per formula unit; total moment = 6.94 μB per cell; polymorph energy (0 for the lowest one) = 511 meV/atom; space group = Pm-3m (221)
1.0
-2.613 2.218 3.302
0.636 -3.667 2.966
3.926 2.070 1.717
Ca Mg V
1 1 3
Cartesian
0.000 0.000 0.000
0.974 0.311 3.993
0.318 -1.833 1.483
1.963 1.035 0.859
-1.307 1.109 1.651

=====

Cu2RuI PBE relaxed; uncorrected energy = -15.19 eV for the cell shown; total moment = 0.00 μB per cell; polymorph energy (0 for the lowest one) = 124 meV/atom; space group = Fm-3m (225); uncorrected formation energy = 0.9579 eV/atom
1.0
1.611 -3.893 1.630
-1.279 -1.440 4.086
-2.719 -3.586 0.382
I Ru Cu
1 1 2
Cartesian
-1.194 -4.459 3.048
0.000 0.000 0.000
-0.597 -2.230 1.524
-1.791 -6.689 4.573

=====

Ta2IrW PBE relaxed; uncorrected energy = -46.39 eV for the cell shown; energy of formation from the pure elements = -0.87 eV per formula unit; total moment = 0.00 μB per cell; polymorph energy (0 for the lowest one) = 111 meV/atom; space group = Imm2 (44)
1.0
5.286 -0.017 -0.003
4.219 3.185 -0.003
1.842 0.614 3.957
Ir Ta W
1 2 1
Cartesian
2.837 0.946 0.988
1.854 0.618 3.952
8.537 2.846 2.950
5.635 1.879 1.996

=====

Na2GaBi2 PBE relaxed; uncorrected energy = -27.35 eV for the cell shown; energy of formation from the pure elements = -0.25 eV per formula unit; total moment = 0.00 μB per cell; polymorph energy (0 for the lowest one) = 159 meV/atom; space group = P4/mbm (127)
1.0
8.844 0.000 0.000
0.000 8.844 0.000
0.000 0.000 3.782
Na Bi Ga
4 4 2
Cartesian
1.547 5.969 1.891
5.969 7.298 1.891
7.298 2.875 1.891
2.875 1.547 1.891
3.328 7.750 0.000
7.750 5.516 0.000
5.516 1.094 0.000
1.094 3.328 0.000
0.000 0.000 0.000
4.422 4.422 0.000